# Y2BeTc (PBE-GGA, optimized geometry)
data_Y2BeTc
_chemical_formula_sum 'Y8 Be4 Tc4'
_cell_length_a 6.739
_cell_length_b 6.739
_cell_length_c 6.739
_cell_angle_alpha 90.00
_cell_angle_beta 90.00
_cell_angle_gamma 90.00
_symmetry_space_group_name_H-M 'F -4 3 m'
_symmetry_Int_Tables_number 216
_symmetry_space_group_name_Hall 'F -4 2 3'
loop_
_atom_site_label
_atom_site_type_symbol
_atom_site_fract_x
_atom_site_fract_y
_atom_site_fract_z
Y1 Y 0.000 0.000 0.000
Y2 Y 0.250 0.250 0.250
Be1 Be 0.000 0.000 0.500
Tc1 Tc 0.250 0.250 0.750
# Electronic total energy ... -6.370 eV per atom

=====

# YBeTc (PBE-GGA, optimized geometry)
data_YBeTc
_chemical_formula_sum 'Y4 Be4 Tc4'
_cell_length_a 6.280
_cell_length_b 6.280
_cell_length_c 6.280
_cell_angle_alpha 90.00
_cell_angle_beta 90.00
_cell_angle_gamma 90.00
_symmetry_space_group_name_H-M 'F -4 3 m'
_symmetry_Int_Tables_number 216
_symmetry_space_group_name_Hall 'F -4 2 3'
loop_
_atom_site_label
_atom_site_type_symbol
_atom_site_fract_x
_atom_site_fract_y
_atom_site_fract_z
Y1 Y 0.000 0.000 0.000
Be1 Be 0.250 0.250 0.750
Tc1 Tc 0.250 0.250 0.250
# Electronic total energy ... -5.450 eV per atom

=====

# YBeTc2 (PBE-GGA, optimized geometry)
data_YBeTc2
_chemical_formula_sum 'Y4 Be4 Tc8'
_cell_length_a 6.353
_cell_length_b 6.353
_cell_length_c 6.353
_cell_angle_alpha 90.00
_cell_angle_beta 90.00
_cell_angle_gamma 90.00
_symmetry_space_group_name_H-M 'F -4 3 m'
_symmetry_Int_Tables_number 216
_symmetry_space_group_name_Hall 'F -4 2 3'
loop_
_atom_site_label
_atom_site_type_symbol
_atom_site_fract_x
_atom_site_fract_y
_atom_site_fract_z
Y1 Y 0.000 0.000 0.000
Be1 Be 0.250 0.250 0.750
Tc1 Tc 0.000 0.000 0.500
Tc2 Tc 0.250 0.250 0.250
# Electronic total energy ... -7.536 eV per atom

=====

# Be2ZnTc (PBE-GGA, optimized geometry)
data_Be2ZnTc
_chemical_formula_sum 'Be8 Zn4 Tc4'
_cell_length_a 5.693
_cell_length_b 5.693
_cell_length_c 5.693
_cell_angle_alpha 90.00
_cell_angle_beta 90.00
_cell_angle_gamma 90.00
_symmetry_space_group_name_H-M 'F -4 3 m'
_symmetry_Int_Tables_number 216
_symmetry_space_group_name_Hall 'F -4 2 3'
loop_
_atom_site_label
_atom_site_type_symbol
_atom_site_fract_x
_atom_site_fract_y
_atom_site_fract_z
Be1 Be 0.000 0.000 0.000
Be2 Be 0.250 0.250 0.250
Zn1 Zn 0.250 0.250 0.750
Tc1 Tc 0.000 0.000 0.500
# Electronic total energy ... -4.567 eV per atom

=====

# BeZnTc (PBE-GGA, optimized geometry)
data_BeZnTc
_chemical_formula_sum 'Be4 Zn4 Tc4'
_cell_length_a 5.693
_cell_length_b 5.693
_cell_length_c 5.693
_cell_angle_alpha 90.00
_cell_angle_beta 90.00
_cell_angle_gamma 90.00
_symmetry_space_group_name_H-M 'F -4 3 m'
_symmetry_Int_Tables_number 216
_symmetry_space_group_name_Hall 'F -4 2 3'
loop_
_atom_site_label
_atom_site_type_symbol
_atom_site_fract_x
_atom_site_fract_y
_atom_site_fract_z
Be1 Be 0.000 0.000 0.000
Zn1 Zn 0.000 0.000 0.500
Tc1 Tc 0.250 0.250 0.250
# Relative energy among the computed polymorphs ... 11.649 kcal/mol of atoms

=====

# Be2ZnTc2 (PBE-GGA, optimized geometry)
data_Be2ZnTc2
_chemical_formula_sum 'Be4 Zn2 Tc4'
_cell_length_a 5.977
_cell_length_b 5.977
_cell_length_c 3.190
_cell_angle_alpha 90.00
_cell_angle_beta 90.00
_cell_angle_gamma 90.00
_symmetry_space_group_name_H-M 'P 4/m b m'
_symmetry_Int_Tables_number 127
_symmetry_space_group_name_Hall '-P 4 2ab'
loop_
_atom_site_label
_atom_site_type_symbol
_atom_site_fract_x
_atom_site_fract_y
_atom_site_fract_z
Be1 Be 0.120 0.380 0.000
Zn1 Zn 0.000 0.000 0.000
Tc1 Tc 0.174 0.674 0.500
# Electronic total energy ... -6.055 eV per atom

=====

# BeZnTc (PBE-GGA, optimized geometry)
data_BeZnTc
_chemical_formula_sum 'Be4 Zn4 Tc4'
_cell_length_a 5.398
_cell_length_b 5.398
_cell_length_c 5.398
_cell_angle_alpha 90.00
_cell_angle_beta 90.00
_cell_angle_gamma 90.00
_symmetry_space_group_name_H-M 'F -4 3 m'
_symmetry_Int_Tables_number 216
_symmetry_space_group_name_Hall 'F -4 2 3'
loop_
_atom_site_label
_atom_site_type_symbol
_atom_site_fract_x
_atom_site_fract_y
_atom_site_fract_z
Be1 Be 0.000 0.000 0.000
Zn1 Zn 0.250 0.250 0.250
Tc1 Tc 0.250 0.250 0.750
# Relative energy among the computed polymorphs ... 0.000 kcal/mol of atoms

=====

# Be2ZnTc (PBE-GGA, optimized geometry)
data_Be2ZnTc
_chemical_formula_sum 'Be8 Zn4 Tc4'
_cell_length_a 5.690
_cell_length_b 5.690
_cell_length_c 5.690
_cell_angle_alpha 90.00
_cell_angle_beta 90.00
_cell_angle_gamma 90.00
_symmetry_space_group_name_H-M 'F -4 3 m'
_symmetry_Int_Tables_number 216
_symmetry_space_group_name_Hall 'F -4 2 3'
loop_
_atom_site_label
_atom_site_type_symbol
_atom_site_fract_x
_atom_site_fract_y
_atom_site_fract_z
Be1 Be 0.000 0.000 0.000
Be2 Be 0.250 0.250 0.250
Zn1 Zn 0.000 0.000 0.500
Tc1 Tc 0.250 0.250 0.750
# Electronic total energy ... -4.566 eV per atom

=====

# ZrBe2Tc (PBE-GGA, optimized geometry)
data_ZrBe2Tc
_chemical_formula_sum 'Zr4 Be8 Tc4'
_cell_length_a 6.082
_cell_length_b 6.082
_cell_length_c 6.082
_cell_angle_alpha 90.00
_cell_angle_beta 90.00
_cell_angle_gamma 90.00
_symmetry_space_group_name_H-M 'F -4 3 m'
_symmetry_Int_Tables_number 216
_symmetry_space_group_name_Hall 'F -4 2 3'
loop_
_atom_site_label
_atom_site_type_symbol
_atom_site_fract_x
_atom_site_fract_y
_atom_site_fract_z
Zr1 Zr 0.000 0.000 0.000
Be1 Be 0.000 0.000 0.500
Be2 Be 0.250 0.250 0.250
Tc1 Tc 0.250 0.250 0.750
# Electronic total energy ... -6.396 eV per atom

=====

# ZrBeTc2 (PBE-GGA, optimized geometry)
data_ZrBeTc2
_chemical_formula_sum 'Zr4 Be4 Tc8'
_cell_length_a 6.224
_cell_length_b 6.224
_cell_length_c 6.224
_cell_angle_alpha 90.00
_cell_angle_beta 90.00
_cell_angle_gamma 90.00
_symmetry_space_group_name_H-M 'F -4 3 m'
_symmetry_Int_Tables_number 216
_symmetry_space_group_name_Hall 'F -4 2 3'
loop_
_atom_site_label
_atom_site_type_symbol
_atom_site_fract_x
_atom_site_fract_y
_atom_site_fract_z
Zr1 Zr 0.000 0.000 0.000
Be1 Be 0.250 0.250 0.750
Tc1 Tc 0.000 0.000 0.500
Tc2 Tc 0.250 0.250 0.250
# Electronic total energy ... -8.232 eV per atom

=====

# TmBeTlTe3 (PBE-GGA, optimized geometry)
data_TmBeTlTe3
_chemical_formula_sum 'Tm4 Be4 Tl4 Te12'
_cell_length_a 4.202
_cell_length_b 15.749
_cell_length_c 11.421
_cell_angle_alpha 90.00
_cell_angle_beta 90.00
_cell_angle_gamma 90.00
_symmetry_space_group_name_H-M 'C m c m'
_symmetry_Int_Tables_number 63
_symmetry_space_group_name_Hall '-C 2c 2'
loop_
_atom_site_label
_atom_site_type_symbol
_atom_site_fract_x
_atom_site_fract_y
_atom_site_fract_z
Tm1 Tm 0.000 0.000 0.000
Be1 Be 0.000 0.465 0.250
Tl1 Tl 0.000 0.248 0.750
Te1 Te 0.000 0.063 0.250
Te2 Te 0.000 0.373 0.074
# Electronic total energy ... -4.095 eV per atom

=====

# UBeTe (PBE-GGA, optimized geometry)
data_UBeTe
_chemical_formula_sum 'U4 Be4 Te4'
_cell_length_a 6.860
_cell_length_b 6.860
_cell_length_c 6.860
_cell_angle_alpha 90.00
_cell_angle_beta 90.00
_cell_angle_gamma 90.00
_symmetry_space_group_name_H-M 'F -4 3 m'
_symmetry_Int_Tables_number 216
_symmetry_space_group_name_Hall 'F -4 2 3'
loop_
_atom_site_label
_atom_site_type_symbol
_atom_site_fract_x
_atom_site_fract_y
_atom_site_fract_z
U1 U 0.000 0.000 0.000
Be1 Be 0.250 0.250 0.750
Te1 Te 0.250 0.250 0.250
# Relative energy among the computed polymorphs ... 6.204 kcal/mol of atoms

=====

# UBeTe (PBE-GGA, optimized geometry)
data_UBeTe
_chemical_formula_sum 'U4 Be4 Te4'
_cell_length_a 6.320
_cell_length_b 6.320
_cell_length_c 6.320
_cell_angle_alpha 90.00
_cell_angle_beta 90.00
_cell_angle_gamma 90.00
_symmetry_space_group_name_H-M 'F -4 3 m'
_symmetry_Int_Tables_number 216
_symmetry_space_group_name_Hall 'F -4 2 3'
loop_
_atom_site_label
_atom_site_type_symbol
_atom_site_fract_x
_atom_site_fract_y
_atom_site_fract_z
U1 U 0.000 0.000 0.000
Be1 Be 0.250 0.250 0.750
Te1 Te 0.000 0.000 0.500
# Relative energy among the computed polymorphs ... 0.000 kcal/mol of atoms

=====

# UBeTe (PBE-GGA, optimized geometry)
data_UBeTe
_chemical_formula_sum 'U4 Be4 Te4'
_cell_length_a 6.778
_cell_length_b 6.778
_cell_length_c 6.778
_cell_angle_alpha 90.00
_cell_angle_beta 90.00
_cell_angle_gamma 90.00
_symmetry_space_group_name_H-M 'F -4 3 m'
_symmetry_Int_Tables_number 216
_symmetry_space_group_name_Hall 'F -4 2 3'
loop_
_atom_site_label
_atom_site_type_symbol
_atom_site_fract_x
_atom_site_fract_y
_atom_site_fract_z
U1 U 0.000 0.000 0.000
Be1 Be 0.000 0.000 0.500
Te1 Te 0.250 0.250 0.750
# Relative energy among the computed polymorphs ... 10.377 kcal/mol of atoms

=====

# BeTeW (PBE-GGA, optimized geometry)
data_BeTeW
_chemical_formula_sum 'Be4 Te4 W4'
_cell_length_a 6.145
_cell_length_b 6.145
_cell_length_c 6.145
_cell_angle_alpha 90.00
_cell_angle_beta 90.00
_cell_angle_gamma 90.00
_symmetry_space_group_name_H-M 'F -4 3 m'
_symmetry_Int_Tables_number 216
_symmetry_space_group_name_Hall 'F -4 2 3'
loop_
_atom_site_label
_atom_site_type_symbol
_atom_site_fract_x
_atom_site_fract_y
_atom_site_fract_z
Be1 Be 0.000 0.000 0.000
Te1 Te 0.000 0.000 0.500
W1 W 0.250 0.250 0.250
# Relative energy among the computed polymorphs ... 0.000 kcal/mol of atoms